Arrangement a

Compound: Cs2CaPdBr6
Source: Alexandria via LeMat-Bulk
Functional: GGA-PBE
Structure: optimized geometry

Unit cell a=13.9836 b=13.9836 c=13.9836 alpha=32.85 beta=32.85 gamma=32.85
Closest atoms and distances in Å follow each position.
Fractional positions:
Cs1 0.1256 0.1256 0.1256  12 Br 3.95-4.05
Cs2 0.2943 0.2943 0.2943  12 Br 3.92-4.22
Cs3 0.7057 0.7057 0.7057  12 Br 3.92-4.22
Cs4 0.8744 0.8744 0.8744  12 Br 3.95-4.05
Ca1 0.4145 0.4145 0.4145  6 Br 2.87-2.89
Ca2 0.5855 0.5855 0.5855  6 Br 2.87-2.89
Pd1 0.0000 0.0000 0.0000  6 Br 2.69
Pd2 0.5000 0.5000 0.5000  6 Br 2.71
Br1 0.1376 0.6221 0.6221  1 Pd 2.71, 1 Ca 2.87
Br2 0.1992 0.1992 0.7200  1 Pd 2.69, 1 Ca 2.89
Br3 0.1992 0.7200 0.1992  1 Pd 2.69, 1 Ca 2.89
Br4 0.2800 0.8008 0.8008  1 Pd 2.69, 1 Ca 2.89
Br5 0.3779 0.3779 0.8624  1 Pd 2.71, 1 Ca 2.87
Br6 0.3779 0.8624 0.3779  1 Pd 2.71, 1 Ca 2.87
Br7 0.6221 0.1376 0.6221  1 Pd 2.71, 1 Ca 2.87
Br8 0.6221 0.6221 0.1376  1 Pd 2.71, 1 Ca 2.87
Br9 0.7200 0.1992 0.1992  1 Pd 2.69, 1 Ca 2.89
Br10 0.8008 0.2800 0.8008  1 Pd 2.69, 1 Ca 2.89
Br11 0.8008 0.8008 0.2800  1 Pd 2.69, 1 Ca 2.89
Br12 0.8624 0.3779 0.3779  1 Pd 2.71, 1 Ca 2.87



Arrangement b

Compound: Cs2CaPdBr6
Source: Alexandria via LeMat-Bulk
Functional: GGA-PBE
Structure: optimized geometry

Unit cell a=7.8979 b=7.8979 c=7.8979 alpha=60.00 beta=60.00 gamma=60.00
Closest atoms and distances in Å follow each position.
Fractional positions:
Cs1 0.2500 0.2500 0.2500  12 Br 3.95
Cs2 0.7500 0.7500 0.7500  12 Br 3.95
Ca1 0.0000 0.0000 0.0000  6 Br 2.89
Pd1 0.5000 0.5000 0.5000  6 Br 2.69
Br1 0.2590 0.2590 0.7410  1 Pd 2.69, 1 Ca 2.89
Br2 0.2590 0.7410 0.2590  1 Pd 2.69, 1 Ca 2.89
Br3 0.2590 0.7410 0.7410  1 Pd 2.69, 1 Ca 2.89
Br4 0.7410 0.2590 0.2590  1 Pd 2.69, 1 Ca 2.89
Br5 0.7410 0.2590 0.7410  1 Pd 2.69, 1 Ca 2.89
Br6 0.7410 0.7410 0.2590  1 Pd 2.69, 1 Ca 2.89



The relative energies come out as arrangement a 0.000; arrangement b 0.026, with values in eV/atom.



Arrangement a

Compound: Cs2CaSbBr6
Source: Alexandria via LeMat-Bulk
Functional: GGA-PBE
Structure: optimized geometry

Unit cell a=8.5641 b=8.5641 c=8.5641 alpha=123.63 beta=123.63 gamma=83.81
Closest atoms and distances in Å follow each position.
Fractional positions:
Cs1 0.2500 0.7500 0.5000  12 Br 4.06-4.28
Cs2 0.7500 0.2500 0.5000  12 Br 4.06-4.28
Ca1 0.0000 0.0000 0.0000  6 Br 2.83-2.91
Sb1 0.5000 0.5000 0.0000  4 Br 2.81
Br1 0.2223 0.2223 0.0000  1 Ca 2.83
Br2 0.2545 0.2545 0.5091  1 Sb 2.81, 1 Ca 2.91
Br3 0.2545 0.7455 0.0000  1 Sb 2.81, 1 Ca 2.91
Br4 0.7455 0.2545 0.0000  1 Sb 2.81, 1 Ca 2.91
Br5 0.7455 0.7455 0.4909  1 Sb 2.81, 1 Ca 2.91
Br6 0.7777 0.7777 0.0000  1 Ca 2.83



Arrangement b

Compound: Cs2CaSbBr6
Source: Alexandria via LeMat-Bulk
Functional: GGA-PBE
Structure: optimized geometry

Unit cell a=9.1135 b=11.4166 c=8.2624 alpha=90.00 beta=90.00 gamma=90.00
Closest atoms and distances in Å follow each position.
Fractional positions:
Cs1 0.2500 0.0081 0.1489  7 Br 3.81-4.06
Cs2 0.2500 0.4919 0.1489  7 Br 3.81-4.06
Cs3 0.7500 0.5081 0.8511  7 Br 3.81-4.06
Cs4 0.7500 0.9919 0.8511  7 Br 3.81-4.06
Ca1 0.2500 0.2500 0.6771  6 Br 2.83-2.98
Ca2 0.7500 0.7500 0.3229  6 Br 2.83-2.98
Sb1 0.2500 0.7500 0.6254  4 Br 2.80-2.81
Sb2 0.7500 0.2500 0.3746  4 Br 2.80-2.81
Br1 0.0144 0.2500 0.9002  1 Ca 2.83
Br2 0.0578 0.2500 0.3858  1 Sb 2.81, 1 Ca 2.98
Br3 0.2500 0.5073 0.6717  1 Sb 2.80, 1 Ca 2.94
Br4 0.2500 0.9927 0.6717  1 Sb 2.80, 1 Ca 2.94
Br5 0.4422 0.2500 0.3858  1 Sb 2.81, 1 Ca 2.98
Br6 0.4856 0.2500 0.9002  1 Ca 2.83
Br7 0.5144 0.7500 0.0998  1 Ca 2.83
Br8 0.5578 0.7500 0.6142  1 Sb 2.81, 1 Ca 2.98
Br9 0.7500 0.0073 0.3283  1 Sb 2.80, 1 Ca 2.94
Br10 0.7500 0.4927 0.3283  1 Sb 2.80, 1 Ca 2.94
Br11 0.9422 0.7500 0.6142  1 Sb 2.81, 1 Ca 2.98
Br12 0.9856 0.7500 0.0998  1 Ca 2.83



The relative energies come out as arrangement a 0.006; arrangement b 0.000, with values in eV/atom.



Arrangement a

Compound: CsCaSe2Br
Source: Alexandria via LeMat-Bulk
Functional: GGA-PBE
Structure: optimized geometry

Unit cell a=5.7228 b=5.7228 c=6.2320 alpha=90.00 beta=90.00 gamma=90.00
Closest atoms and distances in Å follow each position.
Fractional positions:
Cs1 0.0000 0.0000 0.0000  4 Se 2.86, 2 Br 3.12
Ca1 0.5000 0.5000 0.5000  4 Br 4.05, 8 Se 4.23
Se1 0.0000 0.5000 0.0000  2 Cs 2.86
Se2 0.5000 0.0000 0.0000  2 Cs 2.86
Br1 0.0000 0.0000 0.5000  2 Cs 3.12



Arrangement b

Compound: CsCaSe2Br
Source: Alexandria via LeMat-Bulk
Functional: GGA-PBE
Structure: optimized geometry

Unit cell a=5.7057 b=5.7057 c=5.8718 alpha=90.00 beta=90.00 gamma=90.00
Closest atoms and distances in Å follow each position.
Fractional positions:
Cs1 0.0000 0.0000 0.0000  4 Br 4.03, 8 Se 4.09
Ca1 0.5000 0.5000 0.5000  4 Se 2.85, 2 Br 2.94
Se1 0.0000 0.5000 0.5000  2 Ca 2.85
Se2 0.5000 0.0000 0.5000  2 Ca 2.85
Br1 0.5000 0.5000 0.0000  2 Ca 2.94



The relative energies come out as arrangement a 0.951; arrangement b 0.000, with values in eV/atom.